Entry 1:
# Si3OsW

A geometry-optimized Si3OsW structure (PBE, Alexandria).

Geometry as CIF:
```
data_Si3OsW
_chemical_formula_sum 'Si3 Os1 W1'
_space_group_name_H-M_alt 'P 1'
_space_group_IT_number 1
_space_group_name_Hall 'P 1'
_cell_length_a 4.6085
_cell_length_b 4.6085
_cell_length_c 4.6085
_cell_angle_alpha 90.00
_cell_angle_beta 90.00
_cell_angle_gamma 90.00
loop_
_atom_site_label
_atom_site_fract_x
_atom_site_fract_y
_atom_site_fract_z
_atom_site_occupancy
Si1 0.0000 0.5000 0.0000 1
Si2 0.0000 0.0000 0.5000 1
Si3 0.5000 0.0000 0.0000 1
Os1 0.0000 0.0000 0.0000 1
W1 0.5000 0.5000 0.5000 1
```

## Properties
N(E_F), states/eV per cell: 2.8
Uncorrected formation energy, eV/f.u.: 6.6
Space-group type: Pm-3m

=====

Entry 2:
# La8Ga3TcI4

A geometry-optimized La8Ga3TcI4 structure (PBE, Alexandria).

Geometry as CIF:
```
data_La8Ga3TcI4
_chemical_formula_sum 'La8 Ga3 Tc1 I4'
_space_group_name_H-M_alt 'P 1'
_space_group_IT_number 1
_space_group_name_Hall 'P 1'
_cell_length_a 8.8703
_cell_length_b 9.4765
_cell_length_c 8.8671
_cell_angle_alpha 117.89
_cell_angle_beta 120.01
_cell_angle_gamma 90.00
loop_
_atom_site_label
_atom_site_fract_x
_atom_site_fract_y
_atom_site_fract_z
_atom_site_occupancy
La1 0.2210 0.6952 0.9743 1
La2 0.2211 0.6953 0.4423 1
La3 0.2614 0.2844 0.5229 1
La4 0.7532 0.6952 0.9743 1
La5 0.2468 0.3048 0.0257 1
La6 0.7386 0.7156 0.4771 1
La7 0.7789 0.3047 0.5577 1
La8 0.7790 0.3048 0.0257 1
Ga1 0.5000 0.5000 0.0000 1
Ga2 0.5000 0.5000 0.5000 1
Ga3 0.0000 0.5000 0.5000 1
Tc1 0.0000 0.5000 0.0000 1
I1 0.5000 0.0000 0.0000 1
I2 0.5000 0.0000 0.5000 1
I3 0.0000 0.0000 0.0000 1
I4 0.0000 0.0000 0.5000 1
```

## Properties
N(E_F), states/eV per cell: 10.7
Uncorrected formation energy, eV/f.u.: -12.0
Space-group type: R-3m